VASP calculation (PBE-GGA) on a geometry-optimized Mg5ZnPt4 structure.

Cell and atoms, written as POSCAR:
```
Mg5ZnPt4
1.0
7.123 -2.164 0.000
7.123 2.164 0.000
-1.589 0.000 5.290
Mg Zn Pt
5 1 4
direct
0.000 0.000 0.000
0.212 0.212 0.127
0.392 0.392 0.640
0.608 0.608 0.360
0.788 0.788 0.873
0.000 0.000 0.500
0.193 0.193 0.611
0.407 0.407 0.148
0.593 0.593 0.852
0.807 0.807 0.389
```

- electronic total energy (eV/atom) = -4.05
- space group = C2/m (12)
- formation energy (eV per atom) = -0.71


VASP calculation (PBE-GGA) on a geometry-optimized MgZn2Pt9 structure.

Cell and atoms, written as POSCAR:
```
MgZn2Pt9
1.0
3.942 0.000 0.000
0.000 3.942 0.000
0.000 0.000 11.818
Mg Zn Pt
1 2 9
direct
0.000 0.000 0.000
0.000 0.000 0.335
0.000 0.000 0.665
0.000 0.500 0.169
0.000 0.500 0.500
0.000 0.500 0.831
0.500 0.000 0.169
0.500 0.000 0.500
0.500 0.000 0.831
0.500 0.500 0.000
0.500 0.500 0.334
0.500 0.500 0.666
```

- electronic total energy (eV/atom) = -5.30
- space group = P4/mmm (123)
- formation energy (eV per atom) = -0.42


VASP calculation (PBE-GGA) on a geometry-optimized Mg16Zn12Pt structure.

Cell and atoms, written as POSCAR:
```
Mg16Zn12Pt
1.0
5.156 -6.943 0.000
5.156 6.943 0.000
-4.549 0.000 7.441
Mg Zn Pt
16 12 1
direct
0.000 0.000 0.000
0.006 0.403 0.984
0.023 0.312 0.287
0.098 0.719 0.344
0.100 0.335 0.657
0.301 0.301 0.998
0.312 0.023 0.287
0.323 0.688 0.667
0.335 0.100 0.657
0.372 0.696 0.083
0.403 0.006 0.984
0.688 0.323 0.667
0.692 0.692 0.663
0.696 0.372 0.083
0.719 0.098 0.344
0.741 0.741 0.333
0.052 0.667 0.845
0.058 0.871 0.678
0.354 0.354 0.512
0.354 0.550 0.329
0.500 0.500 0.858
0.514 0.894 0.489
0.550 0.354 0.329
0.667 0.052 0.845
0.671 0.857 0.021
0.857 0.671 0.021
0.871 0.058 0.678
0.894 0.514 0.489
0.017 0.017 0.337
```

- electronic total energy (eV/atom) = -1.76
- space group = Cm (8)
- formation energy (eV per atom) = -0.14


VASP calculation (PBE-GGA) on a geometry-optimized MgZnPt structure.

Cell and atoms, written as POSCAR:
```
MgZnPt
1.0
-1.891 1.891 7.223
1.891 -1.891 7.223
1.891 1.891 -7.223
Mg Zn Pt
2 2 2
direct
0.185 0.185 0.000
0.815 0.815 0.000
0.000 0.500 0.500
0.500 0.000 0.500
0.375 0.375 0.000
0.625 0.625 0.000
```

- electronic total energy (eV/atom) = -3.53
- space group = I4/mmm (139)
- formation energy (eV per atom) = -0.56


Please write out number 4 again, unchanged.
VASP calculation (PBE-GGA) on a geometry-optimized MgZnPt structure.

Cell and atoms, written as POSCAR:
```
MgZnPt
1.0
-1.891 1.891 7.223
1.891 -1.891 7.223
1.891 1.891 -7.223
Mg Zn Pt
2 2 2
direct
0.185 0.185 0.000
0.815 0.815 0.000
0.000 0.500 0.500
0.500 0.000 0.500
0.375 0.375 0.000
0.625 0.625 0.000
```

- electronic total energy (eV/atom) = -3.53
- space group = I4/mmm (139)
- formation energy (eV per atom) = -0.56


Q: What is the formula in the first record?
A: Mg5ZnPt4


Q: Which of these has the lowest electronic total energy?
A: MgZn2Pt9